A plane-wave DFT calculation with meta-GGA SCAN was carried out for a PBEsol-optimized structure of BeNiSb2.

Calculated values
V ... 70.1 Å³/cell
Space-group type ... R-3m (166)
Spin magnetization ... 0.000 Bohr magnetons per cell
Raw formation energy ... 0.171 eV/atom

a b c (Å): 3.698 3.698 6.293
angles (deg): 72.91 72.91 60.00
Fractional positions:
Ni (0.000, 0.000, 0.000)
Be (0.500, 0.500, 0.500)
Sb (0.747, 0.747, 0.758)
Sb (0.253, 0.253, 0.242)

---

A plane-wave DFT calculation with meta-GGA SCAN was carried out for a PBEsol-optimized structure of BeNiSb2.

Calculated values
V ... 174.4 Å³/cell
Space-group type ... I-42d (122)
Spin magnetization ... 0.000 Bohr magnetons per cell
Raw formation energy ... 0.268 eV/atom

a b c (Å): 5.790 6.621 5.790
angles (deg): 115.93 90.00 115.93
Fractional positions:
Sb (0.625, 0.750, 0.128)
Sb (0.125, 0.750, 0.622)
Sb (0.872, 0.250, 0.875)
Sb (0.378, 0.250, 0.375)
Be (0.500, 0.000, 0.500)
Be (0.750, 0.500, 0.250)
Ni (0.000, 0.000, 0.000)
Ni (0.250, 0.500, 0.750)

---

A plane-wave DFT calculation with meta-GGA SCAN was carried out for a PBEsol-optimized structure of BeNiSb2Te.

Calculated values
V ... 108.3 Å³/cell
Space-group type ... P4/mmm (123)
Spin magnetization ... 0.003 Bohr magnetons per cell
Raw formation energy ... 0.908 eV/atom

a b c (Å): 4.717 4.717 4.865
angles (deg): 90.00 90.00 90.00
Fractional positions:
Ni (0.500, 0.500, 0.500)
Sb (0.500, 0.000, 0.000)
Sb (0.000, 0.500, 0.000)
Te (0.000, 0.000, 0.500)
Be (0.000, 0.000, 0.000)

---

A plane-wave DFT calculation with meta-GGA SCAN was carried out for a PBEsol-optimized structure of ScBe4Ni.

Calculated values
V ... 61.4 Å³/cell
Space-group type ... F-43m (216)
Spin magnetization ... 0.900 Bohr magnetons per cell
E_form ... -0.23 eV/atom

a b c (Å): 4.429 4.429 4.429
angles (deg): 60.00 60.00 60.00
Each line ends with the local moment (μB).
Fractional positions:
Be (0.376, 0.376, 0.376)  0.05
Be (0.376, 0.376, 0.871)  0.05
Be (0.871, 0.376, 0.376)  0.05
Be (0.376, 0.871, 0.376)  0.05
Ni (0.750, 0.750, 0.750)  0.30
Sc (0.000, 0.000, 0.000)  0.19

---

A plane-wave DFT calculation with meta-GGA SCAN was carried out for a PBEsol-optimized structure of ScBe3Ni.

Calculated values
V ... 61.7 Å³/cell
Space-group type ... Pm-3m (221)
Spin magnetization ... 0.000 Bohr magnetons per cell
E_form ... -0.09 eV/atom

a b c (Å): 3.951 3.951 3.951
angles (deg): 90.00 90.00 90.00
Fractional positions:
Sc (0.500, 0.500, 0.500)
Be (0.000, 0.000, 0.500)
Be (0.500, 0.000, 0.000)
Be (0.000, 0.500, 0.000)
Ni (0.000, 0.000, 0.000)

---

A plane-wave DFT calculation with meta-GGA SCAN was carried out for a PBEsol-optimized structure of ScBeNi2.

Calculated values
V ... 47.9 Å³/cell
Space-group type ... I-4m2 (119)
Spin magnetization ... 0.000 Bohr magnetons per cell
E_form ... -0.30 eV/atom

a b c (Å): 3.508 3.508 4.615
angles (deg): 112.33 112.33 90.00
Fractional positions:
Ni (0.750, 0.250, 0.500)
Ni (0.000, 0.000, 0.000)
Be (0.250, 0.750, 0.500)
Sc (0.500, 0.500, 0.000)